Below is an optimized crystal structure of Pm2Al2InNi5, with properties calculated at the GGA-PBE level.

* spin magnetization: 0.0 Bohr magnetons per cell
* energy of formation: -297 kJ/mol of formula units
* V: 338.5 Å³/cell

```
data_Pm2Al2InNi5
_cell_length_a 9.7588
_cell_length_b 9.7588
_cell_length_c 3.5548
_cell_angle_alpha 90.00
_cell_angle_beta 90.00
_cell_angle_gamma 90.00
_space_group_name_H-M_alt 'P 1'
_space_group_IT_number 1
loop_
_space_group_symop_operation_xyz
'x,y,z'
loop_
_atom_site_label
_atom_site_type_symbol
_atom_site_fract_x
_atom_site_fract_y
_atom_site_fract_z
_atom_site_occupancy
Pm1 Pm 0.1849 0.3151 0.0000 1
Pm2 Pm 0.3151 0.8151 0.0000 1
Pm3 Pm 0.6849 0.1849 0.0000 1
Pm4 Pm 0.8151 0.6849 0.0000 1
Al1 Al 0.1103 0.6103 0.0000 1
Al2 Al 0.3897 0.1103 0.0000 1
Al3 Al 0.6103 0.8897 0.0000 1
Al4 Al 0.8897 0.3897 0.0000 1
In1 In 0.0000 0.0000 0.0000 1
In2 In 0.5000 0.5000 0.0000 1
Ni1 Ni 0.0000 0.5000 0.5000 1
Ni2 Ni 0.0588 0.7756 0.5000 1
Ni3 Ni 0.2244 0.0588 0.5000 1
Ni4 Ni 0.2756 0.5588 0.5000 1
Ni5 Ni 0.4412 0.2756 0.5000 1
Ni6 Ni 0.5000 0.0000 0.5000 1
Ni7 Ni 0.5588 0.7244 0.5000 1
Ni8 Ni 0.7244 0.4412 0.5000 1
Ni9 Ni 0.7756 0.9412 0.5000 1
Ni10 Ni 0.9412 0.2244 0.5000 1
```